[1]
Entry from Alexandria: a relaxed In2SiW crystal (PBE-GGA).

Cell: 5.6325 5.6325 3.0086 Å, 100.26 100.26 121.21°
Fractional positions:
1 In 0.0000 0.5000 0.0000
2 In 0.5000 0.0000 0.0000
3 Si 0.0000 0.0000 0.5000
4 W 0.5000 0.5000 0.5000

For the density of states at the Fermi level, the calculation gives 0.55 states/eV per atom. Its crystal system is monoclinic.

***

[2]
Entry from Alexandria: a relaxed InSi2W crystal (PBE-GGA).

Cell: 4.2926 5.1004 5.1004 Å, 38.81 90.00 90.00°
Fractional positions:
1 In 0.0000 0.0000 0.0000
2 Si 0.0000 0.2651 0.2651
3 Si 0.5000 0.6910 0.6910
4 W 0.5000 0.3965 0.3965

For the density of states at the Fermi level, the calculation gives 0.49 states/eV per atom. Its crystal system is orthorhombic.

***

[3]
Entry from Alexandria: a relaxed InSiW2 crystal (PBE-GGA).

Cell: 5.2195 5.2195 5.2195 Å, 144.02 125.82 66.76°
Fractional positions:
1 In 0.0000 0.0000 0.0000
2 Si 0.5000 0.5000 0.0000
3 W 0.2796 0.7796 0.5000
4 W 0.7204 0.2204 0.5000

For the density of states at the Fermi level, the calculation gives 0.73 states/eV per atom. For the polymorph energy (0 for the lowest one), the calculation gives 90 kJ/mol of formula units. Its crystal system is orthorhombic.

***

[4]
Entry from Alexandria: a relaxed InSi2W crystal (PBE-GGA).

Cell: 3.3087 3.2935 6.2422 Å, 90.00 95.33 90.00°
Fractional positions:
1 In 0.0000 0.0000 0.0000
2 Si 0.4748 0.5000 0.2999
3 Si 0.5252 0.5000 0.7001
4 W 0.0000 0.0000 0.5000

For the density of states at the Fermi level, the calculation gives 0.46 states/eV per atom. Its crystal system is monoclinic.

***

[5]
Entry from Alexandria: a relaxed InSiW2 crystal (PBE-GGA).

Cell: 5.0576 5.0576 5.0576 Å, 133.77 133.77 67.45°
Fractional positions:
1 In 0.0000 0.0000 0.0000
2 Si 0.5000 0.5000 0.0000
3 W 0.2500 0.7500 0.5000
4 W 0.7500 0.2500 0.5000

For the density of states at the Fermi level, the calculation gives 0.99 states/eV per atom. For the polymorph energy (0 for the lowest one), the calculation gives 191 kJ/mol of formula units. Its crystal system is tetragonal.

***

[6]
Entry from Alexandria: a relaxed In2SiW crystal (PBE-GGA).

Cell: 10.5623 10.5623 10.5623 Å, 16.15 16.15 16.15°
Fractional positions:
1 In 0.2448 0.2448 0.2448
2 In 0.7552 0.7552 0.7552
3 Si 0.0000 0.0000 0.0000
4 W 0.5000 0.5000 0.5000

For the density of states at the Fermi level, the calculation gives 0.23 states/eV per atom. Its crystal system is trigonal.

***

[7]
Entry from Alexandria: a relaxed In2SiW crystal (PBE-GGA).

Cell: 3.7217 3.7217 5.4281 Å, 90.00 90.00 90.00°
Fractional positions:
1 In 0.0000 0.0000 0.2494
2 In 0.0000 0.0000 0.7506
3 Si 0.5000 0.5000 0.5000
4 W 0.5000 0.5000 0.0000

For the density of states at the Fermi level, the calculation gives 0.45 states/eV per atom. Its crystal system is tetragonal.

***

[8]
Entry from Alexandria: a relaxed In2SiW crystal (PBE-GGA).

Cell: 3.0210 3.0210 9.0949 Å, 90.00 90.00 105.16°
Fractional positions:
1 In 0.0000 0.0000 0.0000
2 In 0.5000 0.5000 0.3016
3 Si 0.0000 0.0000 0.5652
4 W 0.5000 0.5000 0.7506

For the density of states at the Fermi level, the calculation gives 0.59 states/eV per atom. Its crystal system is orthorhombic.

***

[9]
Entry from Alexandria: a relaxed InSiW2 crystal (PBE-GGA).

Cell: 3.9653 3.9653 4.2117 Å, 90.00 90.00 90.00°
Fractional positions:
1 In 0.0000 0.0000 0.0000
2 Si 0.5000 0.5000 0.0000
3 W 0.0000 0.5000 0.5000
4 W 0.5000 0.0000 0.5000

For the density of states at the Fermi level, the calculation gives 0.92 states/eV per atom. For the polymorph energy (0 for the lowest one), the calculation gives 191 kJ/mol of formula units. Its crystal system is tetragonal.

***

[10]
Entry from Alexandria: a relaxed In2SiW crystal (PBE-GGA).

Cell: 5.5196 5.5196 5.5196 Å, 144.03 128.28 64.61°
Fractional positions:
1 In 0.0000 0.0000 0.0000
2 In 0.7267 0.2267 0.5000
3 Si 0.2649 0.7649 0.5000
4 W 0.4576 0.4576 0.0000

For the density of states at the Fermi level, the calculation gives 0.32 states/eV per atom. Its crystal system is orthorhombic.

***

[11]
Entry from Alexandria: a relaxed YInSi2 crystal (PBE-GGA).

Cell: 3.5890 4.2274 5.8810 Å, 90.00 90.06 90.00°
Fractional positions:
1 Y 0.0000 0.0000 0.0000
2 In 0.5000 0.0000 0.5000
3 Si 0.4992 0.5000 0.8028
4 Si 0.5008 0.5000 0.1972

For the density of states at the Fermi level, the calculation gives 0.26 states/eV per atom. For the polymorph energy (0 for the lowest one), the calculation gives 11 kJ/mol of formula units. Its crystal system is monoclinic.

***

[12]
Entry from Alexandria: a relaxed YIn2Si crystal (PBE-GGA).

Cell: 3.2285 5.0889 5.7054 Å, 90.00 92.22 90.00°
Fractional positions:
1 Y 0.0000 0.0000 0.0000
2 In 0.4608 0.5000 0.7483
3 In 0.5392 0.5000 0.2517
4 Si 0.5000 0.0000 0.5000

For the density of states at the Fermi level, the calculation gives 0.58 states/eV per atom. For the polymorph energy (0 for the lowest one), the calculation gives 73 kJ/mol of formula units. Its crystal system is monoclinic.

***

| no. | formation energy without anion corrections (eV/atom) |
| --- | --- |
| 1 | 0.7343 |
| 2 | 0.3186 |
| 3 | 0.4459 |
| 4 | 0.2257 |
| 5 | 0.7083 |
| 6 | 0.6606 |
| 7 | 0.5641 |
| 8 | 0.4175 |
| 9 | 0.7067 |
| 10 | 0.5135 |
| 11 | -0.1866 |
| 12 | -0.1105 |